# Rb2SrRuBr

A geometry-optimized Rb2SrRuBr structure (PBE, Alexandria).

Computed properties:
Formation energy from raw total energies, kcal/mol of atoms: 3.68
Raw total energy, eV per atom: -2.753
Space-group type: No. 123
Total magnetization, μB/atom: 0.15

abc: 6.4207 5.3540 6.4207
angles: 90.00 90.00 90.00
Closest atoms and distances in Å follow each position.
Element x y z (fractional)
Rb1 0.5000 0.0000 0.0000  2 Ru 3.21
Rb2 0.0000 0.0000 0.5000  2 Ru 3.21
Sr1 0.0000 0.5000 0.0000  2 Ru 2.68
Ru1 0.0000 0.0000 0.0000  2 Sr 2.68
Br1 0.5000 0.5000 0.5000  8 Rb 4.18, 4 Sr 4.54